Below is a geometry-optimized Rb3CaTa structure, with properties calculated at the PBEsol level.

abc: 6.8867 6.8867 6.8867
angles: 90.00 90.00 90.00
Space group Pm-3m (No. 221)
Unique sites:
Rb 0.0000 0.0000 0.5000 (multiplicity 3)
Ca 0.5000 0.5000 0.5000 (multiplicity 1)
Ta 0.0000 0.0000 0.0000 (multiplicity 1)

## Properties
Magnetization: 5.50 μB per cell
Calculated volume: 326.6 Å³ per cell
VASP energy: -10.33 eV for the cell shown
ΔE_f: 1.486 eV per atom